Record 1
Here is a geometry-optimized CdIr2Pb structure from the Alexandria database. Energies are from GGA-PBE.

a b c (Å): 5.243 5.243 5.243
angles (deg): 134.16 134.16 66.84
Positions (direct):
Ir 0.250 0.750 0.500
Ir 0.000 0.000 0.000
Cd 0.750 0.250 0.500
Pb 0.500 0.500 0.000


Record 2
Here is a geometry-optimized CdIr3Pb structure from the Alexandria database. Energies are from GGA-PBE.

a b c (Å): 4.903 4.903 4.903
angles (deg): 90.00 90.00 90.00
Last column: magnetic moment on the atom in μB.
Positions (direct):
Ir 0.000 0.500 0.000  0.29
Ir 0.500 0.000 0.000  0.20
Ir 0.000 0.000 0.500  0.34
Cd 0.000 0.000 0.000  0.00
Pb 0.500 0.500 0.500  -0.01


Record 3
Here is a geometry-optimized CdIr2Pb structure from the Alexandria database. Energies are from GGA-PBE.

a b c (Å): 4.373 4.376 3.759
angles (deg): 90.00 90.00 90.00
Positions (direct):
Ir 0.000 0.000 0.000
Ir 0.500 0.500 0.000
Pb 0.500 0.000 0.500
Cd 0.000 0.500 0.500


Record 4
Here is a geometry-optimized Cd2IrPb structure from the Alexandria database. Energies are from GGA-PBE.

a b c (Å): 4.901 4.901 4.901
angles (deg): 60.00 60.00 60.00
Positions (direct):
Pb 0.750 0.750 0.750
Cd 0.000 0.000 0.000
Cd 0.250 0.250 0.250
Ir 0.500 0.500 0.500


Record 5
Here is a geometry-optimized CdIrPb2 structure from the Alexandria database. Energies are from GGA-PBE.

a b c (Å): 7.922 4.808 3.978
angles (deg): 90.11 59.69 127.95
Positions (direct):
Ir 0.500 0.500 0.000
Pb 0.500 0.000 0.500
Pb 0.000 0.000 0.000
Cd 0.000 0.500 0.500


Record 6
Here is a geometry-optimized Cd2IrPb structure from the Alexandria database. Energies are from GGA-PBE.

a b c (Å): 6.891 6.891 4.722
angles (deg): 69.82 69.82 25.58
Positions (direct):
Cd 0.448 0.448 0.553
Cd 0.052 0.052 0.947
Pb 0.250 0.250 0.250
Ir 0.750 0.750 0.750


Record 7
Here is a geometry-optimized CdIrPb4 structure from the Alexandria database. Energies are from GGA-PBE.

a b c (Å): 6.251 6.251 6.251
angles (deg): 60.00 60.00 60.00
Positions (direct):
Ir 0.000 0.000 0.000
Pb 0.878 0.374 0.374
Pb 0.374 0.374 0.878
Pb 0.374 0.374 0.374
Pb 0.374 0.878 0.374
Cd 0.750 0.750 0.750


Record 8
Here is a geometry-optimized Cd2IrPb2 structure from the Alexandria database. Energies are from GGA-PBE.

a b c (Å): 3.736 3.736 9.793
angles (deg): 79.00 79.00 90.00
Positions (direct):
Cd 0.750 0.250 0.500
Cd 0.250 0.750 0.500
Pb 0.417 0.417 0.165
Pb 0.583 0.583 0.835
Ir 0.000 0.000 0.000


Record 9
Here is a geometry-optimized CdIr2Pb structure from the Alexandria database. Energies are from GGA-PBE.

a b c (Å): 2.911 3.672 7.803
angles (deg): 90.00 90.00 90.00
Positions (direct):
Pb 0.000 0.000 0.449
Cd 0.500 0.500 0.815
Ir 0.000 0.000 0.040
Ir 0.500 0.500 0.197


Record 10
Here is a geometry-optimized Cd2IrPb structure from the Alexandria database. Energies are from GGA-PBE.

a b c (Å): 3.196 3.196 8.757
angles (deg): 90.00 90.00 90.00
Positions (direct):
Cd 0.000 0.000 0.027
Cd 0.500 0.500 0.289
Pb 0.500 0.500 0.697
Ir 0.000 0.000 0.488


Record 11
Here is a geometry-optimized CdIrPb structure from the Alexandria database. Energies are from GGA-PBE.

a b c (Å): 6.758 6.758 6.758
angles (deg): 152.34 152.34 39.51
Positions (direct):
Cd 0.969 0.969 0.000
Ir 0.336 0.336 0.000
Pb 0.695 0.695 0.000


Record 12
Here is a geometry-optimized PmCdIrPb structure from the Alexandria database. Energies are from GGA-PBE.

a b c (Å): 5.057 5.057 5.057
angles (deg): 60.00 60.00 60.00
Positions (direct):
Ir 0.250 0.250 0.250
Cd 0.750 0.750 0.750
Pm 0.000 0.000 0.000
Pb 0.500 0.500 0.500


no.,E (eV per atom)
1,-5.0680
2,-4.3098
3,-5.2185
4,-3.2800
5,-3.8761
6,-3.3812
7,-3.3141
8,-3.1829
9,-5.2547
10,-3.4184
11,-4.2577
12,-4.7184